Entry 1:
The following is a DFT calculation (PBE) of a geometry-optimized CaLu2Th structure.

Lattice parameters (Å, degrees): 3.583 3.583 11.911 81.35 81.35 60.00
Atoms (fractional coordinates):
Lu: 0.745 0.745 0.766
Lu: 0.255 0.255 0.234
Th: 0.000 0.000 0.000
Ca: 0.500 0.500 0.500

Summary:
The density of states at the Fermi level comes out at 1.50 states/eV/atom. The formation energy comes out at 67 meV/atom. The calculation puts the polymorph energy (0 for the lowest one) at 12.5 meV per atom. The total DFT energy (no corrections) is -4.55 eV/atom.

Entry 2:
The following is a DFT calculation (PBE) of a geometry-optimized CaLa2Tb3Te6 structure.

Lattice parameters (Å, degrees): 4.437 8.979 9.987 103.00 102.83 90.00
Atoms (fractional coordinates):
Te: 0.334 0.929 0.669
Te: 0.661 0.590 0.323
Te: 0.666 0.071 0.331
Te: 0.003 0.750 0.007
Te: 0.339 0.410 0.677
Te: 0.997 0.250 0.993
La: 0.830 0.662 0.660
La: 0.170 0.338 0.340
Tb: 0.170 0.829 0.340
Tb: 0.830 0.171 0.660
Tb: 0.500 0.500 0.000
Ca: 0.500 0.000 0.000

Summary:
The density of states at the Fermi level comes out at 0.51 states/eV/atom. The total DFT energy (no corrections) is -5.18 eV/atom.

Entry 3:
The following is a DFT calculation (PBE) of a geometry-optimized FeBrCl3 structure.

Lattice parameters (Å, degrees): 4.635 4.635 4.635 90.00 90.00 90.00
Atoms (fractional coordinates):
Br: 0.500 0.500 0.500
Cl: 0.500 0.000 0.000
Cl: 0.000 0.000 0.500
Cl: 0.000 0.500 0.000
Fe: 0.000 0.000 0.000

Summary:
The density of states at the Fermi level comes out at 2.52 states/eV/atom. The calculation puts the polymorph energy (0 for the lowest one) at 574.7 meV per atom. The total DFT energy (no corrections) is -3.07 eV/atom.

Entry 4:
The following is a DFT calculation (PBE) of a geometry-optimized NaPO3 structure.

Lattice parameters (Å, degrees): 4.839 7.223 7.223 89.36 83.93 83.93
Atoms (fractional coordinates):
Na: 0.250 0.896 0.104
Na: 0.750 0.712 0.288
Na: 0.250 0.288 0.712
Na: 0.750 0.104 0.896
P: 0.275 0.370 0.195
P: 0.725 0.630 0.805
P: 0.775 0.195 0.370
P: 0.225 0.805 0.630
O: 0.559 0.369 0.300
O: 0.184 0.569 0.157
O: 0.315 0.226 0.043
O: 0.684 0.157 0.569
O: 0.185 0.957 0.774
O: 0.941 0.700 0.631
O: 0.059 0.300 0.369
O: 0.316 0.843 0.431
O: 0.815 0.043 0.226
O: 0.441 0.631 0.700
O: 0.685 0.774 0.957
O: 0.816 0.431 0.843

Summary:
The density of states at the Fermi level comes out at 0.00 states/eV/atom. The total DFT energy (no corrections) is -6.52 eV/atom.

Entry 5:
The following is a DFT calculation (PBE) of a geometry-optimized LiCuRh3 structure.

Lattice parameters (Å, degrees): 4.107 4.107 4.107 90.00 90.00 90.00
Atoms (fractional coordinates):
Rh: 0.000 0.500 0.000
Rh: 0.500 0.000 0.000
Rh: 0.000 0.000 0.500
Li: 0.000 0.000 0.000
Cu: 0.500 0.500 0.500

Summary:
The density of states at the Fermi level comes out at 1.29 states/eV/atom. The formation energy comes out at 762 meV/atom. The calculation puts the polymorph energy (0 for the lowest one) at 0.0 meV per atom. The total DFT energy (no corrections) is -4.85 eV/atom.

Entry 6:
The following is a DFT calculation (PBE) of a geometry-optimized Co2Si structure.

Lattice parameters (Å, degrees): 6.230 6.230 4.179 90.00 90.00 155.93
Atoms (fractional coordinates):
Co: 0.625 0.375 0.750
Co: 0.948 0.052 0.750
Co: 0.052 0.948 0.250
Co: 0.375 0.625 0.250
Si: 0.714 0.286 0.250
Si: 0.286 0.714 0.750

Summary:
The density of states at the Fermi level comes out at 0.74 states/eV/atom. The total DFT energy (no corrections) is -6.73 eV/atom.

Entry 7:
The following is a DFT calculation (PBE) of a geometry-optimized LiSnS structure.

Lattice parameters (Å, degrees): 4.697 4.697 7.521 90.00 90.00 120.00
Atoms (fractional coordinates):
Sn: 0.333 0.667 0.209
Sn: 0.333 0.667 0.791
S: 0.000 0.000 0.257
S: 0.000 0.000 0.743
Li: 0.667 0.333 0.500
Li: 0.667 0.333 0.000

Summary:
The density of states at the Fermi level comes out at 0.16 states/eV/atom. The calculation puts the polymorph energy (0 for the lowest one) at 510.9 meV per atom. The total DFT energy (no corrections) is -3.60 eV/atom.

Entry 8:
The following is a DFT calculation (PBE) of a geometry-optimized ScTlCl2 structure.

Lattice parameters (Å, degrees): 6.344 6.344 6.344 148.87 122.10 67.21
Atoms (fractional coordinates):
Tl: 0.250 0.750 0.500
Sc: 0.750 0.250 0.500
Cl: 0.574 0.574 0.000
Cl: 0.926 0.926 0.000

Summary:
The density of states at the Fermi level comes out at 0.69 states/eV/atom. The calculation puts the polymorph energy (0 for the lowest one) at 109.0 meV per atom. The total DFT energy (no corrections) is -4.30 eV/atom.